A plane-wave DFT calculation with PBE-GGA was carried out for a geometry-optimized Ba2LaTaO6 structure.

Calculated values
calculated volume: 16.104 A^3/atom
total energy: -0.29844 hartree per atom

```
data_Ba2LaTaO6
_chemical_formula_sum 'Ba4 La2 Ta2 O12'
_cell_length_a 6.153
_cell_length_b 6.085
_cell_length_c 8.602
_cell_angle_alpha 90.00
_cell_angle_beta 90.56
_cell_angle_gamma 90.00
_space_group_name_H-M_alt 'P 1'
_space_group_IT_number 1
loop_
_space_group_symop_operation_xyz
'x,y,z'
loop_
_atom_site_label
_atom_site_type_symbol
_atom_site_fract_x
_atom_site_fract_y
_atom_site_fract_z
O1 O 0.286 0.745 0.962
O2 O 0.714 0.255 0.038
O3 O 0.570 0.494 0.772
O4 O 0.261 0.281 0.963
O5 O 0.786 0.755 0.462
Ta1 Ta 0.000 0.000 0.500
O6 O 0.430 0.506 0.228
La1 La 0.000 0.000 0.000
Ba1 Ba 0.494 0.009 0.752
O7 O 0.739 0.719 0.037
Ba2 Ba 0.506 0.991 0.248
Ba3 Ba 0.994 0.491 0.252
Ta2 Ta 0.500 0.500 0.000
Ba4 Ba 0.006 0.509 0.748
La2 La 0.500 0.500 0.500
O8 O 0.930 0.994 0.728
O9 O 0.239 0.781 0.537
O10 O 0.214 0.245 0.538
O11 O 0.070 0.006 0.272
O12 O 0.761 0.219 0.463
```